## Si3AgW (GGA-PBE)

Data for a geometry-optimized Si3AgW structure.

Unit cell a=4.7177 b=4.7177 c=4.7177 alpha=90.00 beta=90.00 gamma=90.00
Closest atoms and distances in Å follow each position.
Space group Pm-3m (No. 221)
Unique sites:
1 Si 0.0000 0.0000 0.5000 (multiplicity 3)  2 Ag 2.36
2 Ag 0.0000 0.0000 0.0000 (multiplicity 1)  6 Si 2.36
3 W 0.5000 0.5000 0.5000 (multiplicity 1)  12 Si 3.34

The excess energy over the best structure of this formula in the dataset comes out at 27.341 kcal/mol of atoms. Its mass density is 5.95 g/cm3.